a.
{"formula": "Pm3Nd6Ho", "functional": "PBE-GGA", "state": "optimized geometry", "lattice_angstrom": [[5.511, -9.698, 0.000], [5.511, 9.698, 0.000], [0.000, 0.000, 6.511]], "species": ["Pm", "Pm", "Pm", "Pm", "Pm", "Pm", "Nd", "Nd", "Nd", "Nd", "Nd", "Nd", "Nd", "Nd", "Nd", "Nd", "Nd", "Nd", "Ho", "Ho"], "frac_coords": [[0.116, 0.884, 0.500], [0.210, 0.443, 0.882], [0.443, 0.210, 0.382], [0.557, 0.790, 0.882], [0.790, 0.557, 0.382], [0.884, 0.116, 0.000], [0.024, 0.441, 0.286], [0.129, 0.212, 0.475], [0.212, 0.129, 0.975], [0.222, 0.778, 0.070], [0.441, 0.024, 0.786], [0.466, 0.534, 0.283], [0.534, 0.466, 0.783], [0.559, 0.976, 0.286], [0.778, 0.222, 0.570], [0.788, 0.871, 0.475], [0.871, 0.788, 0.975], [0.976, 0.559, 0.786], [0.308, 0.692, 0.532], [0.692, 0.308, 0.032]], "space_group": "Cmc2_1", "total_magnetization_mub_per_cell": 0.000}

b.
{"formula": "Pm3Nd6Ho", "functional": "PBE-GGA", "state": "optimized geometry", "lattice_angstrom": [[5.760, -3.462, 0.000], [5.760, 3.462, 0.000], [-2.665, 0.000, 8.793]], "species": ["Pm", "Pm", "Pm", "Nd", "Nd", "Nd", "Nd", "Nd", "Nd", "Ho"], "frac_coords": [[0.000, 0.000, 0.000], [0.075, 0.075, 0.668], [0.925, 0.925, 0.332], [0.049, 0.573, 0.699], [0.376, 0.376, 0.082], [0.427, 0.951, 0.301], [0.573, 0.049, 0.699], [0.624, 0.624, 0.918], [0.951, 0.427, 0.301], [0.500, 0.500, 0.500]], "space_group": "C2/m", "total_magnetization_mub_per_cell": 0.000}

Energetically preferred structure: a | next structure: +77 meV per atom

a.
{"formula": "Pm2NdHo", "functional": "PBE-GGA", "state": "optimized geometry", "lattice_angstrom": [[0.000, 4.081, 4.081], [4.081, 0.000, 4.081], [4.081, 4.081, 0.000]], "species": ["Pm", "Pm", "Nd", "Ho"], "frac_coords": [[0.250, 0.250, 0.250], [0.750, 0.750, 0.750], [0.000, 0.000, 0.000], [0.500, 0.500, 0.500]], "space_group": "Fm-3m", "total_magnetization_mub_per_cell": 0.021}

b.
{"formula": "Pm2NdHo", "functional": "PBE-GGA", "state": "optimized geometry", "lattice_angstrom": [[1.819, 1.050, 11.787], [-1.819, 1.050, 11.787], [0.000, -2.101, 11.787]], "species": ["Pm", "Pm", "Nd", "Ho"], "frac_coords": [[0.000, 0.000, 0.000], [0.170, 0.170, 0.170], [0.418, 0.418, 0.418], [0.585, 0.585, 0.585]], "space_group": "R3m", "total_magnetization_mub_per_cell": 0.000}

c.
{"formula": "Pm2NdHo", "functional": "PBE-GGA", "state": "optimized geometry", "lattice_angstrom": [[-1.868, 2.996, 6.051], [1.868, -2.996, 6.051], [1.868, 2.996, -6.051]], "species": ["Pm", "Pm", "Nd", "Ho"], "frac_coords": [[0.000, 0.000, 0.000], [0.742, 0.242, 0.500], [0.482, 0.482, 0.000], [0.240, 0.740, 0.500]], "space_group": "Imm2", "total_magnetization_mub_per_cell": 0.000}

Energetically preferred structure: b | next structure: +96 meV per atom

a.
{"formula": "Pm2NdHo", "functional": "PBE-GGA", "state": "optimized geometry", "lattice_angstrom": [[5.124, 0.000, 0.000], [0.000, 5.124, 0.000], [0.000, 0.000, 5.131]], "species": ["Pm", "Pm", "Nd", "Ho"], "frac_coords": [[0.000, 0.500, 0.000], [0.500, 0.000, 0.000], [0.000, 0.000, 0.500], [0.500, 0.500, 0.500]], "space_group": "P4/mmm", "total_magnetization_mub_per_cell": 0.000}

b.
{"formula": "Pm2NdHo", "functional": "PBE-GGA", "state": "optimized geometry", "lattice_angstrom": [[4.264, 0.000, 0.000], [0.000, 4.264, 0.000], [0.000, 0.000, 7.442]], "species": ["Pm", "Pm", "Nd", "Ho"], "frac_coords": [[0.000, 0.000, 0.243], [0.000, 0.000, 0.757], [0.500, 0.500, 0.500], [0.500, 0.500, 0.000]], "space_group": "P4/mmm", "total_magnetization_mub_per_cell": 0.000}

Energetically preferred structure: a | next structure: +99 meV per atom